[1]
! YTa2Re (PBE, optimized geometry); values from VASP
&SYSTEM
  ibrav = 0, nat = 8, ntyp = 3
/
ATOMIC_SPECIES
Y 88.91 Y.upf
Ta 180.95 Ta.upf
Re 186.21 Re.upf
ATOMIC_POSITIONS crystal
Y 0.000 0.000 0.000
Y 0.750 0.250 0.500
Ta 0.182 0.125 0.557
Ta 0.375 0.818 0.943
Ta 0.568 0.625 0.443
Ta 0.875 0.432 0.057
Re 0.250 0.750 0.500
Re 0.500 0.500 0.000
CELL_PARAMETERS angstrom
-3.871 3.871 2.925
3.871 -3.871 2.925
3.871 3.871 -2.925
! - SG: I-42d
! - VASP energy: -40.3 eV per formula unit
! - Theoretical density: 12.1 Mg/m³
! - Energy above the lowest structure with this stoichiometry: 11.20 kcal/mol of atoms

[2]
! TaZnRe (PBE, optimized geometry); values from VASP
&SYSTEM
  ibrav = 0, nat = 3, ntyp = 3
/
ATOMIC_SPECIES
Ta 180.95 Ta.upf
Zn 65.41 Zn.upf
Re 186.21 Re.upf
ATOMIC_POSITIONS crystal
Ta 0.000 0.000 0.000
Zn 0.331 0.331 0.000
Re 0.670 0.670 0.000
CELL_PARAMETERS angstrom
-1.344 2.122 4.163
1.344 -2.122 4.163
1.344 2.122 -4.163
! - SG: Imm2
! - VASP energy: -25.5 eV per formula unit
! - Theoretical density: 15.1 Mg/m³
! - Energy above the lowest structure with this stoichiometry: 1.94 kcal/mol of atoms

[3]
! TaZnRe3 (PBE, optimized geometry); values from VASP
&SYSTEM
  ibrav = 0, nat = 5, ntyp = 3
/
ATOMIC_SPECIES
Ta 180.95 Ta.upf
Zn 65.41 Zn.upf
Re 186.21 Re.upf
ATOMIC_POSITIONS crystal
Ta 0.000 0.000 0.000
Zn 0.500 0.500 0.500
Re 0.000 0.000 0.500
Re 0.000 0.500 0.000
Re 0.500 0.000 0.000
CELL_PARAMETERS angstrom
4.784 0.000 0.000
0.000 4.784 0.000
0.000 0.000 4.784
! - SG: Pm-3m
! - VASP energy: -38.6 eV per formula unit
! - Theoretical density: 12.2 Mg/m³
! - Energy above the lowest structure with this stoichiometry: 15.10 kcal/mol of atoms

[4]
! Ta2ZnRe (PBE, optimized geometry); values from VASP
&SYSTEM
  ibrav = 0, nat = 4, ntyp = 3
/
ATOMIC_SPECIES
Ta 180.95 Ta.upf
Zn 65.41 Zn.upf
Re 186.21 Re.upf
ATOMIC_POSITIONS crystal
Ta 0.000 0.000 0.000
Ta 0.500 0.500 0.269
Zn 0.000 0.000 0.516
Re 0.500 0.500 0.743
CELL_PARAMETERS angstrom
2.759 0.000 0.000
0.000 2.759 0.000
0.000 0.000 8.702
! - SG: P4mm
! - VASP energy: -36.6 eV per formula unit
! - Theoretical density: 15.4 Mg/m³

[5]
! Ta2ZnRe (PBE, optimized geometry); values from VASP
&SYSTEM
  ibrav = 0, nat = 4, ntyp = 3
/
ATOMIC_SPECIES
Ta 180.95 Ta.upf
Zn 65.41 Zn.upf
Re 186.21 Re.upf
ATOMIC_POSITIONS crystal
Ta 0.000 0.000 0.000
Ta 0.500 0.500 0.266
Zn 0.500 0.500 0.746
Re 0.000 0.000 0.507
CELL_PARAMETERS angstrom
1.623 -2.267 0.000
1.623 2.267 0.000
0.000 0.000 9.003
! - SG: Cmm2
! - VASP energy: -37.2 eV per formula unit
! - Theoretical density: 15.4 Mg/m³

[6]
! Ta2ZnRe (PBE, optimized geometry); values from VASP
&SYSTEM
  ibrav = 0, nat = 8, ntyp = 3
/
ATOMIC_SPECIES
Ta 180.95 Ta.upf
Zn 65.41 Zn.upf
Re 186.21 Re.upf
ATOMIC_POSITIONS crystal
Ta 0.099 0.625 0.974
Ta 0.375 0.349 0.474
Ta 0.651 0.125 0.026
Ta 0.875 0.901 0.526
Zn 0.250 0.750 0.500
Zn 0.500 0.500 0.000
Re 0.000 0.000 0.000
Re 0.750 0.250 0.500
CELL_PARAMETERS angstrom
-3.653 3.653 2.737
3.653 -3.653 2.737
3.653 3.653 -2.737
! - SG: I-42d
! - VASP energy: -34.9 eV per formula unit
! - Theoretical density: 13.9 Mg/m³

It is found that the formation energy from the elements values, taken in the order of the records, are 2.313 0.094 11.833 0.795 0.184 2.518 eV per formula unit.
It is found that the spin magnetization values, taken in the order of the records, are 0.00 0.00 2.39 0.00 0.00 0.00 μB per cell.